Material: AlVReRh
Method: DFT, GGA-PBE
State: optimized geometry

Cell and atoms, written as CIF:
```
data_AlVReRh
_cell_length_a 4.2873
_cell_length_b 4.2873
_cell_length_c 4.2873
_cell_angle_alpha 60.00
_cell_angle_beta 60.00
_cell_angle_gamma 60.00
_space_group_name_H-M_alt 'P 1'
_space_group_IT_number 1
loop_
_space_group_symop_operation_xyz
'x,y,z'
loop_
_atom_site_label
_atom_site_type_symbol
_atom_site_fract_x
_atom_site_fract_y
_atom_site_fract_z
Al1 Al 0.0000 0.0000 0.0000
V1 V 0.5000 0.5000 0.5000
Re1 Re 0.2500 0.2500 0.2500
Rh1 Rh 0.7500 0.7500 0.7500
```

Calculated values
Raw total energy   -8.656 eV per atom
DOS(E_F)   0.229 states/eV/atom
Total moment   0.00 μB per atom